Entry 1:
The following is a PBE-GGA calculation of an optimized crystal structure of Zr2AsBr, from Alexandria via LeMat-Bulk.

Properties
Uncorrected energy: -6.38 eV per atom
Raw formation energy: -2.083 eV per formula unit
DOS at the Fermi energy: 0.58 states/eV/atom

Cell and atoms, written as CIF:
```
data_Zr2AsBr
_symmetry_space_group_name_H-M 'R 3 m'
_symmetry_Int_Tables_number 160
_symmetry_space_group_name_Hall 'R 3 -2"'
_cell_length_a 3.6174
_cell_length_b 3.6174
_cell_length_c 27.4267
_cell_angle_alpha 90.00
_cell_angle_beta 90.00
_cell_angle_gamma 120.00
loop_
_atom_site_label
_atom_site_type_symbol
_atom_site_fract_x
_atom_site_fract_y
_atom_site_fract_z
Zr1 Zr 0.0000 0.0000 0.0000
Zr2 Zr 0.0000 0.0000 0.2478
As1 As 0.0000 0.0000 0.7241
Br1 Br 0.0000 0.0000 0.5138
```

***

Entry 2:
The following is a PBE-GGA calculation of an optimized crystal structure of Al2RhBr, from Alexandria via LeMat-Bulk.

Properties
Uncorrected energy: -4.64 eV per atom
Raw formation energy: -2.058 eV per formula unit
DOS at the Fermi energy: 0.30 states/eV/atom
Energy above the most stable polymorph in this dataset: 0.0000 eV/atom

Cell and atoms, written as CIF:
```
data_Al2RhBr
_symmetry_space_group_name_H-M 'P 1 m 1'
_symmetry_Int_Tables_number 6
_symmetry_space_group_name_Hall 'P -2y'
_cell_length_a 3.123
_cell_length_b 3.497
_cell_length_c 7.677
_cell_angle_alpha 90.00
_cell_angle_beta 90.19
_cell_angle_gamma 90.00
loop_
_atom_site_label
_atom_site_type_symbol
_atom_site_fract_x
_atom_site_fract_y
_atom_site_fract_z
Al1 Al 0.000 0.000 0.000
Al2 Al 0.003 0.500 0.362
Rh1 Rh 0.502 0.000 0.247
Br1 Br 0.997 0.500 0.761
```

***

Entry 3:
The following is a PBE-GGA calculation of an optimized crystal structure of Sr2In2Ag, from Alexandria via LeMat-Bulk.

Properties
Uncorrected energy: -2.49 eV per atom
DOS at the Fermi energy: 0.95 states/eV/atom
Energy above the most stable polymorph in this dataset: 0.2252 eV/atom

Cell and atoms, written as CIF:
```
data_Sr2In2Ag
_symmetry_space_group_name_H-M 'I 4/m m m'
_symmetry_Int_Tables_number 139
_symmetry_space_group_name_Hall '-I 4 2'
_cell_length_a 4.211
_cell_length_b 4.211
_cell_length_c 19.290
_cell_angle_alpha 90.00
_cell_angle_beta 90.00
_cell_angle_gamma 90.00
loop_
_atom_site_label
_atom_site_type_symbol
_atom_site_fract_x
_atom_site_fract_y
_atom_site_fract_z
Sr1 Sr 0.000 0.000 0.098
In1 In 0.000 0.500 0.250
Ag1 Ag 0.000 0.000 0.500
```

***

Entry 4:
The following is a PBE-GGA calculation of an optimized crystal structure of ZnInNiSn2, from Alexandria via LeMat-Bulk.

Properties
Uncorrected energy: -3.50 eV per atom
DOS at the Fermi energy: 0.38 states/eV/atom

Cell and atoms, written as CIF:
```
data_ZnInNiSn2
_symmetry_space_group_name_H-M 'P 4/m m m'
_symmetry_Int_Tables_number 123
_symmetry_space_group_name_Hall '-P 4 2'
_cell_length_a 4.998
_cell_length_b 4.998
_cell_length_c 4.731
_cell_angle_alpha 90.00
_cell_angle_beta 90.00
_cell_angle_gamma 90.00
loop_
_atom_site_label
_atom_site_type_symbol
_atom_site_fract_x
_atom_site_fract_y
_atom_site_fract_z
Zn1 Zn 0.000 0.000 0.000
In1 In 0.500 0.500 0.000
Ni1 Ni 0.000 0.000 0.500
Sn1 Sn 0.000 0.500 0.500
```

***

Entry 5:
The following is a PBE-GGA calculation of an optimized crystal structure of Pa2NiBi, from Alexandria via LeMat-Bulk.

Properties
Uncorrected energy: -7.32 eV per atom
DOS at the Fermi energy: 1.42 states/eV/atom
Energy above the most stable polymorph in this dataset: 0.0000 eV/atom

Cell and atoms, written as CIF:
```
data_Pa2NiBi
_symmetry_space_group_name_H-M 'P 1 21/m 1'
_symmetry_Int_Tables_number 11
_symmetry_space_group_name_Hall '-P 2yb'
_cell_length_a 6.394
_cell_length_b 3.811
_cell_length_c 8.175
_cell_angle_alpha 90.00
_cell_angle_beta 106.19
_cell_angle_gamma 90.00
loop_
_atom_site_label
_atom_site_type_symbol
_atom_site_fract_x
_atom_site_fract_y
_atom_site_fract_z
Pa1 Pa 0.123 0.250 0.373
Pa2 Pa 0.234 0.750 0.048
Ni1 Ni 0.168 0.250 0.798
Bi1 Bi 0.404 0.750 0.687
```

***

Entry 6:
The following is a PBE-GGA calculation of an optimized crystal structure of NdInAg2, from Alexandria via LeMat-Bulk.

Properties
Uncorrected energy: -3.49 eV per atom
DOS at the Fermi energy: 0.77 states/eV/atom

Cell and atoms, written as CIF:
```
data_NdInAg2
_symmetry_space_group_name_H-M 'P 4/m m m'
_symmetry_Int_Tables_number 123
_symmetry_space_group_name_Hall '-P 4 2'
_cell_length_a 4.705
_cell_length_b 4.705
_cell_length_c 4.347
_cell_angle_alpha 90.00
_cell_angle_beta 90.00
_cell_angle_gamma 90.00
loop_
_atom_site_label
_atom_site_type_symbol
_atom_site_fract_x
_atom_site_fract_y
_atom_site_fract_z
Nd1 Nd 0.000 0.000 0.000
In1 In 0.500 0.500 0.000
Ag1 Ag 0.000 0.500 0.500
```